VASP calculation (PBE-GGA) on an optimized crystal structure of LiAlP2.

a b c (Å): 3.5588 3.5588 4.9893
angles (deg): 90.00 90.00 90.00
Positions (direct):
P  0.0000  0.0000  0.8750
Al  0.0000  0.0000  0.3751
P  0.5000  0.5000  0.3750
Li  0.5000  0.5000  0.8750

Computed properties:
energy = -4.22 eV per atom
D(E_F) = 2.62 states/eV/f.u.
total magnetic moment = 0.000 μB/f.u.